Record 1
# SiAsHC

SiAsHC after structural relaxation (PBE, Alexandria).

Computed properties:
* SG: P1
* spin magnetization: 0.00 μB per formula unit
* energy above the lowest structure with this stoichiometry: 0 meV per atom
* energy: -5.73 eV/atom

The structure in POSCAR format:
```
SiAsHC
1.0
3.068 0.000 0.000
1.533 2.657 0.000
0.626 0.388 7.099
Si As H C
1 1 1 1
direct
0.000 0.000 0.000 Si
0.045 0.050 0.660 As
0.635 0.632 0.240 H
0.656 0.654 0.083 C
```


Record 2
# SiAsHC

SiAsHC after structural relaxation (PBE, Alexandria).

Computed properties:
* SG: Cm
* spin magnetization: 0.00 μB per formula unit
* energy above the lowest structure with this stoichiometry: 136 meV per atom
* energy: -5.59 eV/atom

The structure in POSCAR format:
```
SiAsHC
1.0
2.661 -1.536 0.000
2.661 1.536 0.000
-1.356 0.000 7.133
Si As H C
1 1 1 1
direct
0.000 0.000 0.000 Si
0.573 0.573 0.634 As
0.054 0.054 0.211 H
0.645 0.645 0.914 C
```


Record 3
# SiAsHC

SiAsHC after structural relaxation (PBE, Alexandria).

Computed properties:
* SG: Pmm2
* spin magnetization: 0.00 μB per formula unit
* energy above the lowest structure with this stoichiometry: 457 meV per atom
* energy: -5.27 eV/atom

The structure in POSCAR format:
```
SiAsHC
1.0
3.071 0.000 0.000
0.000 3.125 0.000
0.000 0.000 5.701
Si As H C
1 1 1 1
direct
0.000 0.000 0.000 Si
0.500 0.500 0.414 As
0.000 0.500 0.875 H
0.500 0.000 0.187 C
```


Record 4
# SiAsHC

SiAsHC after structural relaxation (PBE, Alexandria).

Computed properties:
* SG: Cm
* spin magnetization: 0.00 μB per formula unit
* energy above the lowest structure with this stoichiometry: 546 meV per atom
* energy: -5.18 eV/atom

The structure in POSCAR format:
```
SiAsHC
1.0
2.745 -1.584 0.000
2.745 1.584 0.000
-1.839 0.000 5.493
Si As H C
1 1 1 1
direct
0.000 0.000 0.000 Si
0.162 0.162 0.467 As
0.833 0.833 0.493 H
0.307 0.307 0.924 C
```


Record 5
# ZnSi4As2H36C12

ZnSi4As2H36C12 after structural relaxation (PBE, Alexandria).

Computed properties:
* SG: P-1
* spin magnetization: 0.00 μB per formula unit
* energy: -5.02 eV/atom

The structure in POSCAR format:
```
ZnSi4As2H36C12
1.0
10.131 0.000 0.000
-3.026 10.793 0.000
-3.407 -1.452 12.291
Zn Si As H C
2 8 4 72 24
direct
0.018 0.388 0.096 Zn
0.982 0.612 0.904 Zn
0.139 0.805 0.714 Si
0.140 0.330 0.851 Si
0.260 0.321 0.338 Si
0.266 0.794 0.195 Si
0.734 0.206 0.805 Si
0.740 0.679 0.662 Si
0.860 0.670 0.149 Si
0.861 0.195 0.286 Si
0.046 0.216 0.200 As
0.059 0.623 0.109 As
0.941 0.377 0.891 As
0.954 0.784 0.800 As
0.031 0.212 0.664 H
0.033 0.908 0.555 H
0.045 0.632 0.559 H
0.075 0.375 0.656 H
0.093 0.103 0.879 H
0.138 0.020 0.669 H
0.142 0.584 0.679 H
0.168 0.974 0.148 H
0.187 0.200 0.003 H
0.198 0.446 0.475 H
0.210 0.863 0.363 H
0.212 0.299 0.684 H
0.216 0.528 0.361 H
0.218 0.918 0.038 H
0.222 0.952 0.588 H
0.230 0.182 0.484 H
0.235 0.684 0.601 H
0.279 0.181 0.906 H
0.281 0.555 0.871 H
0.296 0.743 0.388 H
0.313 0.124 0.396 H
0.317 0.493 0.997 H
0.323 0.944 0.875 H
0.326 0.787 0.881 H
0.351 0.011 0.154 H
0.371 0.520 0.462 H
0.383 0.433 0.208 H
0.395 0.457 0.896 H
0.397 0.898 0.381 H
0.404 0.876 0.790 H
0.407 0.282 0.217 H
0.414 0.253 0.496 H
0.414 0.730 0.087 H
0.437 0.665 0.213 H
0.478 0.175 0.790 H
0.491 0.595 0.677 H
0.509 0.405 0.323 H
0.522 0.825 0.210 H
0.563 0.335 0.787 H
0.586 0.270 0.913 H
0.586 0.747 0.504 H
0.593 0.718 0.783 H
0.596 0.124 0.210 H
0.603 0.102 0.619 H
0.605 0.543 0.104 H
0.617 0.567 0.792 H
0.629 0.480 0.538 H
0.649 0.989 0.846 H
0.674 0.213 0.119 H
0.677 0.056 0.125 H
0.683 0.507 0.003 H
0.687 0.876 0.604 H
0.704 0.257 0.612 H
0.719 0.445 0.129 H
0.721 0.819 0.094 H
0.765 0.316 0.399 H
0.770 0.818 0.516 H
0.778 0.048 0.412 H
0.782 0.082 0.962 H
0.784 0.472 0.639 H
0.788 0.701 0.316 H
0.790 0.137 0.637 H
0.802 0.554 0.525 H
0.813 0.800 0.997 H
0.832 0.026 0.852 H
0.858 0.416 0.321 H
0.862 0.980 0.331 H
0.907 0.897 0.121 H
0.925 0.625 0.344 H
0.955 0.368 0.441 H
0.967 0.092 0.445 H
0.969 0.788 0.336 H
0.111 0.301 0.699 C
0.132 0.933 0.623 C
0.139 0.663 0.631 C
0.177 0.191 0.916 C
0.248 0.937 0.127 C
0.261 0.467 0.416 C
0.294 0.827 0.346 C
0.297 0.472 0.909 C
0.308 0.209 0.438 C
0.314 0.858 0.826 C
0.403 0.364 0.265 C
0.424 0.749 0.174 C
0.576 0.251 0.826 C
0.597 0.636 0.735 C
0.686 0.142 0.174 C
0.692 0.791 0.562 C
0.703 0.528 0.091 C
0.706 0.173 0.654 C
0.739 0.533 0.584 C
0.752 0.063 0.873 C
0.823 0.809 0.084 C
0.861 0.337 0.369 C
0.868 0.067 0.377 C
0.889 0.699 0.301 C
```


Record 6
# Tb4AsHC2

Tb4AsHC2 after structural relaxation (PBE, Alexandria).

Computed properties:
* SG: Cmcm
* spin magnetization: 0.00 μB per formula unit
* energy: -6.30 eV/atom

The structure in POSCAR format:
```
Tb4AsHC2
1.0
1.892 -6.129 0.000
1.892 6.129 0.000
0.000 0.000 12.733
Tb As H C
8 2 2 4
direct
0.000 0.000 0.000 Tb
0.000 0.000 0.500 Tb
0.264 0.736 0.608 Tb
0.264 0.736 0.892 Tb
0.434 0.566 0.250 Tb
0.566 0.434 0.750 Tb
0.736 0.264 0.108 Tb
0.736 0.264 0.392 Tb
0.114 0.886 0.250 As
0.886 0.114 0.750 As
0.155 0.845 0.750 H
0.845 0.155 0.250 H
0.366 0.634 0.060 C
0.366 0.634 0.440 C
0.634 0.366 0.560 C
0.634 0.366 0.940 C
```